A plane-wave DFT calculation with GGA-PBE was carried out for a relaxed structure of Ho4ErTm7.

Values from the calculation:
Energy relative to the lowest polymorph listed for this composition, eV per formula unit: 0.00
Total energy, eV per atom: -4.421
D(E_F), states/eV per atom: 1.720
Formation enthalpy at 0 K, meV per atom: 93

abc: 6.413 6.695 8.883
angles: 85.19 76.72 81.35
Sites, in units of the cell vectors:
Ho 0.139 0.307 0.286
Ho 0.337 0.882 0.690
Ho 0.663 0.118 0.310
Ho 0.861 0.693 0.714
Er 0.500 0.500 0.000
Tm 0.015 0.252 0.950
Tm 0.183 0.797 0.357
Tm 0.311 0.392 0.614
Tm 0.500 0.000 0.000
Tm 0.689 0.608 0.386
Tm 0.817 0.203 0.643
Tm 0.985 0.748 0.050

A plane-wave DFT calculation with GGA-PBE was carried out for a relaxed structure of Cs2CuTe2.

Values from the calculation:
Total energy, eV per atom: -2.790
D(E_F), states/eV per atom: 0.668
Energy relative to the elements, uncorrected, kJ/mol of formula units: -180

abc: 7.803 7.803 6.130
angles: 90.00 90.00 90.00
Sites, in units of the cell vectors:
Cs 0.160 0.340 0.000
Cs 0.340 0.840 0.000
Cs 0.660 0.160 0.000
Cs 0.840 0.660 0.000
Cu 0.000 0.000 0.500
Cu 0.500 0.500 0.500
Te 0.169 0.669 0.500
Te 0.331 0.169 0.500
Te 0.669 0.831 0.500
Te 0.831 0.331 0.500

A plane-wave DFT calculation with GGA-PBE was carried out for a relaxed structure of MgNiTe2Ir.

Values from the calculation:
Total energy, eV per atom: -3.252
D(E_F), states/eV per atom: 1.006
Energy relative to the elements, uncorrected, kJ/mol of formula units: 604

abc: 5.142 5.142 4.338
angles: 90.00 90.00 90.00
Sites, in units of the cell vectors:
Mg 0.000 0.000 0.000
Ni 0.000 0.000 0.500
Te 0.000 0.500 0.000
Te 0.500 0.000 0.000
Ir 0.500 0.500 0.500

A plane-wave DFT calculation with GGA-PBE was carried out for a relaxed structure of Pm2Er3ScS6.

Values from the calculation:
Total energy, eV per atom: -6.475
D(E_F), states/eV per atom: 0.454
Energy relative to the elements, uncorrected, kJ/mol of formula units: -2259

abc: 8.707 8.707 7.847
angles: 103.15 103.15 25.78
Sites, in units of the cell vectors:
Pm 0.167 0.167 0.334
Pm 0.833 0.833 0.666
Er 0.170 0.170 0.834
Er 0.500 0.500 0.500
Er 0.830 0.830 0.166
Sc 0.500 0.500 0.000
S 0.005 0.005 0.760
S 0.337 0.337 0.408
S 0.338 0.338 0.929
S 0.662 0.662 0.071
S 0.663 0.663 0.592
S 0.995 0.995 0.240

| no. | total moment (μB per cell) |
| --- | --- |
| 1 | 0.00 |
| 2 | 0.00 |
| 3 | 0.00 |
| 4 | 0.00 |